VASP calculation (PBE-GGA) on RbLi2GeIr after structural relaxation.

```
data_RbLi2GeIr
_chemical_formula_sum 'Rb1 Li2 Ge1 Ir1'
_symmetry_space_group_name_H-M 'P 4/m m m'
_symmetry_Int_Tables_number 123
_symmetry_space_group_name_Hall '-P 4 2'
_cell_length_a 5.097
_cell_length_b 5.097
_cell_length_c 4.714
_cell_angle_alpha 90.00
_cell_angle_beta 90.00
_cell_angle_gamma 90.00
loop_
_atom_site_label
_atom_site_fract_x
_atom_site_fract_y
_atom_site_fract_z
_atom_site_occupancy
Rb1 0.000 0.000 0.000 1
Li1 0.000 0.500 0.500 1
Ge1 0.500 0.500 0.000 1
Ir1 0.500 0.500 0.500 1
```

Values from the calculation:
- calculated formation energy (eV/atom) = -0.121
- final energy (eV/cell) = -18.88
- size of the total moment (μB/cell) = 0.000